# 1
Density functional theory data (PBEsol) for a geometry-optimized Li2MnO2F structure.

Results
ΔE to the lowest computed polymorph	42.3	kJ/mol of formula units
symmetry	P-1
electronic total energy	-6.47	eV per atom
uncorrected formation energy	-2.11	eV/atom

Cell and atoms, written as CIF:
```
data_Li2MnO2F
_chemical_formula_sum 'Li8 Mn4 O8 F4'
_cell_length_a 4.994
_cell_length_b 5.105
_cell_length_c 9.716
_cell_angle_alpha 84.32
_cell_angle_beta 77.94
_cell_angle_gamma 60.98
_symmetry_space_group_name_H-M 'P 1'
_symmetry_Int_Tables_number 1
_symmetry_space_group_name_Hall 'P 1'
loop_
_atom_site_label
_atom_site_type_symbol
_atom_site_fract_x
_atom_site_fract_y
_atom_site_fract_z
Li1 Li 0.000 0.000 0.000
Li2 Li 0.058 0.359 0.747
Li3 Li 0.137 0.683 0.505
Li4 Li 0.301 0.373 0.999
Li5 Li 0.500 0.000 0.500
Li6 Li 0.699 0.627 0.001
Li7 Li 0.863 0.317 0.495
Li8 Li 0.942 0.641 0.253
Mn1 Mn 0.237 0.999 0.247
Mn2 Mn 0.409 0.670 0.749
Mn3 Mn 0.591 0.330 0.251
Mn4 Mn 0.763 0.001 0.753
O1 O 0.060 0.676 0.873
O2 O 0.126 0.981 0.638
O3 O 0.242 0.290 0.357
O4 O 0.319 0.657 0.147
O5 O 0.681 0.343 0.853
O6 O 0.758 0.710 0.643
O7 O 0.874 0.019 0.362
O8 O 0.940 0.324 0.127
F1 F 0.373 0.027 0.881
F2 F 0.434 0.342 0.609
F3 F 0.566 0.658 0.391
F4 F 0.627 0.973 0.119
```

***

# 2
Density functional theory data (PBEsol) for a geometry-optimized EuYO2 structure.

Results
symmetry	R-3m
electronic total energy	-9.93	eV per atom
uncorrected formation energy	-2.96	eV/atom

Cell and atoms, written as CIF:
```
data_EuYO2
_chemical_formula_sum 'Eu1 Y1 O2'
_cell_length_a 6.005
_cell_length_b 6.005
_cell_length_c 6.005
_cell_angle_alpha 33.08
_cell_angle_beta 33.08
_cell_angle_gamma 33.08
_symmetry_space_group_name_H-M 'P 1'
_symmetry_Int_Tables_number 1
_symmetry_space_group_name_Hall 'P 1'
loop_
_atom_site_label
_atom_site_type_symbol
_atom_site_fract_x
_atom_site_fract_y
_atom_site_fract_z
Eu1 Eu 0.000 0.000 0.000
Y1 Y 0.500 0.500 0.500
O1 O 0.240 0.240 0.240
O2 O 0.760 0.760 0.760
```

***

What is the uncorrected formation energy in the second record?
-2.96 eV/atom